1.
The following is a GGA-PBE calculation of crystalline Ce3Ho2PaAs6 at its relaxed geometry, from Alexandria.

Unit cell a=7.189 b=7.189 c=7.225 alpha=99.53 beta=99.53 gamma=120.00
Site moments in Bohr magnetons follow the coordinates.
Positions (direct):
Ce (0.168, 0.832, 0.500)  0.69
Ce (0.832, 0.168, 0.500)  0.69
Ce (0.500, 0.500, 0.500)  0.69
Ho (0.334, 0.666, 0.000)  0.01
Ho (0.666, 0.334, 0.000)  0.01
Pa (0.000, 0.000, 0.000)  0.28
As (0.920, 0.589, 0.759)  -0.02
As (0.750, 0.750, 0.241)  -0.02
As (0.080, 0.411, 0.241)  -0.02
As (0.589, 0.920, 0.759)  -0.02
As (0.250, 0.250, 0.759)  -0.02
As (0.411, 0.080, 0.241)  -0.02

## Properties
The raw total energy comes out at -6.76 eV per atom. Its space group is C2/m (12). The calculation puts the total magnetization at 0.23 μB per atom. The value obtained for the volume is 305 Å³ per cell. The calculation puts the formation energy at -16.79 eV per formula unit. The calculation puts the density of states at the Fermi level at 20.273 states/eV/cell.


2.
The following is a GGA-PBE calculation of crystalline CeHoPa2As4 at its relaxed geometry, from Alexandria.

Unit cell a=4.120 b=7.137 c=7.144 alpha=109.43 beta=90.00 gamma=90.00
Site moments in Bohr magnetons follow the coordinates.
Positions (direct):
Ce (0.000, 0.000, 0.000)  0.51
Ho (0.500, 0.500, 0.000)  -0.01
Pa (0.500, 0.000, 0.500)  0.07
Pa (0.000, 0.500, 0.500)  0.17
As (0.500, 0.255, 0.255)  -0.01
As (0.500, 0.745, 0.745)  -0.01
As (0.000, 0.252, 0.747)  0.00
As (0.000, 0.748, 0.253)  0.00

## Properties
The raw total energy comes out at -7.27 eV per atom. Its space group is P2/m (10). The calculation puts the total magnetization at 0.11 μB per atom. The value obtained for the volume is 198 Å³ per cell. The calculation puts the formation energy at -10.03 eV per formula unit. The calculation puts the density of states at the Fermi level at 11.811 states/eV/cell.


3.
The following is a GGA-PBE calculation of crystalline CePmHo2As4 at its relaxed geometry, from Alexandria.

Unit cell a=4.166 b=7.198 c=7.214 alpha=70.56 beta=90.00 gamma=90.00
Site moments in Bohr magnetons follow the coordinates.
Positions (direct):
Ce (0.000, 0.500, 0.500)  0.53
Pm (0.500, 0.500, 0.000)  0.01
Ho (0.000, 0.000, 0.000)  0.00
Ho (0.500, 0.000, 0.500)  0.00
As (0.000, 0.757, 0.745)  -0.01
As (0.000, 0.243, 0.255)  -0.01
As (0.500, 0.756, 0.250)  -0.01
As (0.500, 0.244, 0.750)  -0.01

## Properties
The raw total energy comes out at -6.31 eV per atom. Its space group is P2/m (10). The calculation puts the total magnetization at 0.07 μB per atom. The value obtained for the volume is 204 Å³ per cell. The calculation puts the formation energy at -12.02 eV per formula unit. The calculation puts the density of states at the Fermi level at 6.261 states/eV/cell.


4.
The following is a GGA-PBE calculation of crystalline Ce2PmHo3As6 at its relaxed geometry, from Alexandria.

Unit cell a=4.166 b=8.320 c=9.295 alpha=102.77 beta=102.95 gamma=90.00
Site moments in Bohr magnetons follow the coordinates.
Positions (direct):
Ce (0.834, 0.668, 0.667)  0.58
Ce (0.166, 0.332, 0.333)  0.58
Pm (0.500, 0.000, 0.000)  0.01
Ho (0.500, 0.500, 0.000)  0.00
Ho (0.834, 0.166, 0.668)  0.00
Ho (0.166, 0.834, 0.332)  0.00
As (0.331, 0.919, 0.662)  -0.01
As (0.666, 0.586, 0.331)  -0.01
As (0.669, 0.081, 0.338)  -0.01
As (0.999, 0.256, 0.998)  -0.01
As (0.001, 0.744, 0.002)  -0.01
As (0.334, 0.414, 0.669)  -0.01

## Properties
The raw total energy comes out at -6.35 eV per atom. Its space group is C2/m (12). The calculation puts the total magnetization at 0.10 μB per atom. The value obtained for the volume is 306 Å³ per cell. The calculation puts the formation energy at -17.94 eV per formula unit. The calculation puts the density of states at the Fermi level at 11.791 states/eV/cell.


5.
The following is a GGA-PBE calculation of crystalline CePm2Ho3As6 at its relaxed geometry, from Alexandria.

Unit cell a=4.170 b=8.329 c=9.301 alpha=102.82 beta=102.95 gamma=90.00
Site moments in Bohr magnetons follow the coordinates.
Positions (direct):
Ce (0.500, 0.000, 0.000)  0.51
Pm (0.833, 0.665, 0.665)  0.00
Pm (0.167, 0.335, 0.335)  0.00
Ho (0.500, 0.500, 0.000)  0.00
Ho (0.832, 0.167, 0.665)  0.00
Ho (0.168, 0.833, 0.335)  0.00
As (0.333, 0.922, 0.666)  -0.01
As (0.665, 0.588, 0.329)  0.00
As (0.667, 0.078, 0.334)  -0.01
As (0.998, 0.252, 0.996)  -0.01
As (0.002, 0.748, 0.004)  -0.01
As (0.335, 0.412, 0.671)  0.00

## Properties
The raw total energy comes out at -6.27 eV per atom. Its space group is C2/m (12). The calculation puts the total magnetization at 0.04 μB per atom. The value obtained for the volume is 307 Å³ per cell. The calculation puts the formation energy at -18.15 eV per formula unit. The calculation puts the density of states at the Fermi level at 6.043 states/eV/cell.


6.
The following is a GGA-PBE calculation of crystalline CePr2Ho3As6 at its relaxed geometry, from Alexandria.

Unit cell a=4.195 b=8.376 c=9.355 alpha=102.79 beta=102.96 gamma=90.00
Site moments in Bohr magnetons follow the coordinates.
Positions (direct):
Ce (0.500, 0.000, 0.000)  0.53
Pr (0.833, 0.665, 0.666)  0.00
Pr (0.167, 0.335, 0.334)  0.00
Ho (0.500, 0.500, 0.000)  0.00
Ho (0.832, 0.167, 0.665)  0.00
Ho (0.168, 0.833, 0.335)  0.00
As (0.333, 0.925, 0.666)  -0.01
As (0.664, 0.591, 0.327)  0.00
As (0.667, 0.075, 0.334)  -0.01
As (0.997, 0.251, 0.994)  -0.01
As (0.003, 0.749, 0.006)  -0.01
As (0.336, 0.409, 0.673)  0.00

## Properties
The raw total energy comes out at -6.26 eV per atom. Its space group is C2/m (12). The calculation puts the total magnetization at 0.05 μB per atom. The value obtained for the volume is 312 Å³ per cell. The calculation puts the formation energy at -17.99 eV per formula unit. The calculation puts the density of states at the Fermi level at 6.097 states/eV/cell.


7.
The following is a GGA-PBE calculation of crystalline Ce3Pr2HoAs6 at its relaxed geometry, from Alexandria.

Unit cell a=7.326 b=7.326 c=7.322 alpha=99.61 beta=99.61 gamma=120.00
Site moments in Bohr magnetons follow the coordinates.
Positions (direct):
Ce (0.168, 0.832, 0.500)  0.58
Ce (0.832, 0.168, 0.500)  0.58
Ce (0.500, 0.500, 0.500)  0.58
Pr (0.334, 0.666, 0.000)  0.01
Pr (0.666, 0.334, 0.000)  0.01
Ho (0.000, 0.000, 0.000)  0.00
As (0.916, 0.589, 0.747)  -0.02
As (0.759, 0.759, 0.255)  -0.02
As (0.084, 0.411, 0.253)  -0.02
As (0.589, 0.916, 0.747)  -0.02
As (0.241, 0.241, 0.745)  -0.02
As (0.411, 0.084, 0.253)  -0.02

## Properties
The raw total energy comes out at -6.45 eV per atom. Its space group is C2/m (12). The calculation puts the total magnetization at 0.16 μB per atom. The value obtained for the volume is 321 Å³ per cell. The calculation puts the formation energy at -17.59 eV per formula unit. The calculation puts the density of states at the Fermi level at 17.083 states/eV/cell.


8.
The following is a GGA-PBE calculation of crystalline CePr2HoAs4 at its relaxed geometry, from Alexandria.

Unit cell a=4.232 b=7.317 c=7.335 alpha=109.40 beta=90.00 gamma=90.00
Site moments in Bohr magnetons follow the coordinates.
Positions (direct):
Ce (0.500, 0.500, 0.000)  0.48
Pr (0.500, 0.000, 0.500)  0.01
Pr (0.000, 0.500, 0.500)  0.01
Ho (0.000, 0.000, 0.000)  0.00
As (0.500, 0.245, 0.238)  -0.01
As (0.500, 0.755, 0.762)  -0.01
As (0.000, 0.252, 0.760)  -0.01
As (0.000, 0.748, 0.240)  -0.01

## Properties
The raw total energy comes out at -6.32 eV per atom. Its space group is P2/m (10). The calculation puts the total magnetization at 0.07 μB per atom. The value obtained for the volume is 214 Å³ per cell. The calculation puts the formation energy at -11.90 eV per formula unit. The calculation puts the density of states at the Fermi level at 6.241 states/eV/cell.


Q: Which value of raw total energy does entry 3 give?
A: -6.31 eV per atom


Q: total magnetization of number 4 (Ce2PmHo3As6)?
A: 0.10 μB per atom


Q: Look up the total magnetization of the third one.
A: 0.07 μB per atom


Q: total magnetization of number 1 (Ce3Ho2PaAs6)?
A: 0.23 μB per atom